Record 1
# GGA-PBE Sr2RhPb, optimized geometry
data_Sr2RhPb
_cell_length_a 4.5050
_cell_length_b 5.4593
_cell_length_c 9.3423
_cell_angle_alpha 90.00
_cell_angle_beta 90.00
_cell_angle_gamma 90.00
_space_group_name_H-M_alt 'I m m m'
_space_group_IT_number 71
_space_group_name_Hall '-I 2 2'
loop_
_atom_site_label
_atom_site_type_symbol
_atom_site_fract_x
_atom_site_fract_y
_atom_site_fract_z
Sr1 Sr 0.0000 0.0000 0.2176
Rh1 Rh 0.0000 0.5000 0.5000
Pb1 Pb 0.0000 0.5000 0.0000
# - size of the total moment (μB/cell) = 0.0
# - formation enthalpy at 0 K (meV per atom) = -194
# - theoretical density (g/cm³) = 7.02

=====

Record 2
# GGA-PBE LaNd5Ga6, optimized geometry
data_LaNd5Ga6
_cell_length_a 9.0787
_cell_length_b 15.7463
_cell_length_c 5.2415
_cell_angle_alpha 90.00
_cell_angle_beta 125.21
_cell_angle_gamma 90.00
_space_group_name_H-M_alt 'C 1 2/m 1'
_space_group_IT_number 12
_space_group_name_Hall '-C 2y'
loop_
_atom_site_label
_atom_site_type_symbol
_atom_site_fract_x
_atom_site_fract_y
_atom_site_fract_z
La1 La 0.0000 0.0000 0.0000
Nd1 Nd 0.0000 0.1623 0.5000
Nd2 Nd 0.0000 0.3308 0.0000
Nd3 Nd 0.0000 0.5000 0.5000
Ga1 Ga 0.2393 0.5000 0.2395
Ga2 Ga 0.2446 0.3312 0.7444
# - size of the total moment (μB/cell) = 0.0
# - formation enthalpy at 0 K (meV per atom) = -555
# - theoretical density (g/cm³) = 6.94

=====

Record 3
# GGA-PBE ScTc2Hg, optimized geometry
data_ScTc2Hg
_cell_length_a 3.8196
_cell_length_b 4.4896
_cell_length_c 8.1784
_cell_angle_alpha 90.00
_cell_angle_beta 90.00
_cell_angle_gamma 90.00
_space_group_name_H-M_alt 'I m m 2'
_space_group_IT_number 44
_space_group_name_Hall 'I 2 -2'
loop_
_atom_site_label
_atom_site_type_symbol
_atom_site_fract_x
_atom_site_fract_y
_atom_site_fract_z
Sc1 Sc 0.0000 0.0000 0.0000
Tc1 Tc 0.0000 0.0000 0.4621
Tc2 Tc 0.0000 0.5000 0.7628
Hg1 Hg 0.0000 0.5000 0.2285
# - size of the total moment (μB/cell) = 0.0
# - formation enthalpy at 0 K (meV per atom) = 99
# - theoretical density (g/cm³) = 10.46

=====

Record 4
# GGA-PBE NaIn2Bi2, optimized geometry
data_NaIn2Bi2
_cell_length_a 3.3868
_cell_length_b 5.2646
_cell_length_c 8.7963
_cell_angle_alpha 106.73
_cell_angle_beta 91.97
_cell_angle_gamma 90.18
_space_group_name_H-M_alt 'P -1'
_space_group_IT_number 2
_space_group_name_Hall '-P 1'
loop_
_atom_site_label
_atom_site_type_symbol
_atom_site_fract_x
_atom_site_fract_y
_atom_site_fract_z
Na1 Na 0.0000 0.0000 0.0000
In1 In 0.2526 0.7912 0.5822
Bi1 Bi 0.4732 0.3991 0.8073
# - size of the total moment (μB/cell) = 0.0
# - formation enthalpy at 0 K (meV per atom) = -88
# - distance to the lowest polymorph of the same formula (meV per atom) = 0
# - theoretical density (g/cm³) = 7.42

=====

Record 5
# GGA-PBE Tm2ScCo2, optimized geometry
data_Tm2ScCo2
_cell_length_a 3.9593
_cell_length_b 5.6910
_cell_length_c 8.7239
_cell_angle_alpha 90.00
_cell_angle_beta 90.00
_cell_angle_gamma 90.00
_space_group_name_H-M_alt 'I m m m'
_space_group_IT_number 71
_space_group_name_Hall '-I 2 2'
loop_
_atom_site_label
_atom_site_type_symbol
_atom_site_fract_x
_atom_site_fract_y
_atom_site_fract_z
Tm1 Tm 0.0000 0.0000 0.1999
Sc1 Sc 0.0000 0.5000 0.0000
Co1 Co 0.0000 0.2932 0.5000
# - size of the total moment (μB/cell) = 0.0
# - formation enthalpy at 0 K (meV per atom) = -261
# - distance to the lowest polymorph of the same formula (meV per atom) = 0
# - theoretical density (g/cm³) = 8.46

=====

Record 6
# GGA-PBE CaAl3As, optimized geometry
data_CaAl3As
_cell_length_a 5.5089
_cell_length_b 5.5089
_cell_length_c 5.5089
_cell_angle_alpha 90.00
_cell_angle_beta 90.00
_cell_angle_gamma 90.00
_space_group_name_H-M_alt 'P m -3 m'
_space_group_IT_number 221
_space_group_name_Hall '-P 4 2 3'
loop_
_atom_site_label
_atom_site_type_symbol
_atom_site_fract_x
_atom_site_fract_y
_atom_site_fract_z
Ca1 Ca 0.0000 0.0000 0.0000
Al1 Al 0.0000 0.0000 0.5000
As1 As 0.5000 0.5000 0.5000
# - size of the total moment (μB/cell) = 0.0
# - formation enthalpy at 0 K (meV per atom) = 1338
# - distance to the lowest polymorph of the same formula (meV per atom) = 1045
# - theoretical density (g/cm³) = 1.95

=====

Record 7
# GGA-PBE PaAs12Os4, optimized geometry
data_PaAs12Os4
_cell_length_a 8.6121
_cell_length_b 8.6121
_cell_length_c 8.6121
_cell_angle_alpha 90.00
_cell_angle_beta 90.00
_cell_angle_gamma 90.00
_space_group_name_H-M_alt 'I m -3'
_space_group_IT_number 204
_space_group_name_Hall '-I 2 2 3'
loop_
_atom_site_label
_atom_site_type_symbol
_atom_site_fract_x
_atom_site_fract_y
_atom_site_fract_z
Pa1 Pa 0.0000 0.0000 0.0000
As1 As 0.0000 0.3446 0.1486
Os1 Os 0.2500 0.2500 0.2500
# - size of the total moment (μB/cell) = 2.1
# - formation enthalpy at 0 K (meV per atom) = -298
# - theoretical density (g/cm³) = 9.83

=====

Record 8
# GGA-PBE CrSbCl2, optimized geometry
data_CrSbCl2
_cell_length_a 3.2671
_cell_length_b 4.5657
_cell_length_c 5.8107
_cell_angle_alpha 90.00
_cell_angle_beta 90.00
_cell_angle_gamma 90.00
_space_group_name_H-M_alt 'P m m m'
_space_group_IT_number 47
_space_group_name_Hall '-P 2 2'
loop_
_atom_site_label
_atom_site_type_symbol
_atom_site_fract_x
_atom_site_fract_y
_atom_site_fract_z
Cr1 Cr 0.0000 0.0000 0.0000
Sb1 Sb 0.5000 0.0000 0.5000
Cl1 Cl 0.0000 0.5000 0.5000
Cl2 Cl 0.5000 0.5000 0.0000
# - size of the total moment (μB/cell) = 4.0
# - distance to the lowest polymorph of the same formula (meV per atom) = 354
# - theoretical density (g/cm³) = 4.69

=====

Record 9
# GGA-PBE Mg2PdAu, optimized geometry
data_Mg2PdAu
_cell_length_a 3.2881
_cell_length_b 3.2881
_cell_length_c 6.3174
_cell_angle_alpha 90.00
_cell_angle_beta 90.00
_cell_angle_gamma 90.00
_space_group_name_H-M_alt 'P 4/m m m'
_space_group_IT_number 123
_space_group_name_Hall '-P 4 2'
loop_
_atom_site_label
_atom_site_type_symbol
_atom_site_fract_x
_atom_site_fract_y
_atom_site_fract_z
Mg1 Mg 0.0000 0.0000 0.2400
Pd1 Pd 0.5000 0.5000 0.0000
Au1 Au 0.5000 0.5000 0.5000
# - size of the total moment (μB/cell) = 0.0
# - formation enthalpy at 0 K (meV per atom) = -672
# - theoretical density (g/cm³) = 8.56

=====

Record 10
# GGA-PBE NaBi4Rh2, optimized geometry
data_NaBi4Rh2
_cell_length_a 8.8872
_cell_length_b 11.7739
_cell_length_c 8.1206
_cell_angle_alpha 90.00
_cell_angle_beta 119.74
_cell_angle_gamma 90.00
_space_group_name_H-M_alt 'C 1 2 1'
_space_group_IT_number 5
_space_group_name_Hall 'C 2y'
loop_
_atom_site_label
_atom_site_type_symbol
_atom_site_fract_x
_atom_site_fract_y
_atom_site_fract_z
Na1 Na 0.0000 0.0000 0.0000
Na2 Na 0.0000 0.1162 0.5000
Bi1 Bi 0.0780 0.7169 0.3428
Bi2 Bi 0.1071 0.2580 0.8595
Bi3 Bi 0.2071 0.4833 0.5884
Bi4 Bi 0.2405 0.4373 0.1900
Rh1 Rh 0.0565 0.5032 0.8127
Rh2 Rh 0.2318 0.1986 0.2423
# - size of the total moment (μB/cell) = 0.0
# - formation enthalpy at 0 K (meV per atom) = -133
# - distance to the lowest polymorph of the same formula (meV per atom) = 35
# - theoretical density (g/cm³) = 9.59

=====

Record 11
# GGA-PBE ZrGa6Cl12, optimized geometry
data_ZrGa6Cl12
_cell_length_a 12.5349
_cell_length_b 12.5349
_cell_length_c 11.8062
_cell_angle_alpha 90.00
_cell_angle_beta 90.00
_cell_angle_gamma 120.00
_space_group_name_H-M_alt 'R -3'
_space_group_IT_number 148
_space_group_name_Hall '-R 3'
loop_
_atom_site_label
_atom_site_type_symbol
_atom_site_fract_x
_atom_site_fract_y
_atom_site_fract_z
Zr1 Zr 0.0000 0.0000 0.0000
Ga1 Ga 0.0381 0.2404 0.6373
Cl1 Cl 0.0335 0.1794 0.8815
Cl2 Cl 0.0340 0.2046 0.3833
# - size of the total moment (μB/cell) = 0.0
# - raw total energy (eV/atom) = -3.51
# - theoretical density (g/cm³) = 2.90

=====

Record 12
# GGA-PBE KCr2As, optimized geometry
data_KCr2As
_cell_length_a 3.1322
_cell_length_b 3.2196
_cell_length_c 7.9419
_cell_angle_alpha 90.00
_cell_angle_beta 90.00
_cell_angle_gamma 90.00
_space_group_name_H-M_alt 'P m m 2'
_space_group_IT_number 25
_space_group_name_Hall 'P 2 -2'
loop_
_atom_site_label
_atom_site_type_symbol
_atom_site_fract_x
_atom_site_fract_y
_atom_site_fract_z
K1 K 0.0000 0.0000 0.0000
Cr1 Cr 0.0000 0.0000 0.4829
Cr2 Cr 0.5000 0.5000 0.6428
As1 As 0.5000 0.5000 0.3112
# - size of the total moment (μB/cell) = 1.6
# - formation enthalpy at 0 K (meV per atom) = 280
# - theoretical density (g/cm³) = 4.52